1.
Entry from Alexandria via LeMat-Bulk: CrNi3Br after structural relaxation (PBE-GGA).

symmetry = Pm-3m
crystal system = cubic
D(E_F) = 1.55 states/eV per cell
VASP energy = -4.76 eV per atom
energy relative to the elements, uncorrected = 0.9730 eV per atom

```
data_CrNi3Br
_chemical_formula_sum 'Cr1 Ni3 Br1'
_cell_length_a 4.347
_cell_length_b 4.347
_cell_length_c 4.347
_cell_angle_alpha 90.00
_cell_angle_beta 90.00
_cell_angle_gamma 90.00
_symmetry_space_group_name_H-M 'P 1'
_symmetry_Int_Tables_number 1
_symmetry_space_group_name_Hall 'P 1'
loop_
_atom_site_label
_atom_site_type_symbol
_atom_site_fract_x
_atom_site_fract_y
_atom_site_fract_z
_atom_site_occupancy
Cr1 Cr 0.000 0.000 0.000 1
Ni1 Ni 0.000 0.500 0.500 1
Ni2 Ni 0.500 0.000 0.500 1
Ni3 Ni 0.500 0.500 0.000 1
Br1 Br 0.500 0.500 0.500 1
```

***

2.
Entry from Alexandria via LeMat-Bulk: TiCoCu2B after structural relaxation (PBE-GGA).

energy of formation from the pure elements = 81 meV/atom
symmetry = P4/mmm
crystal system = tetragonal
D(E_F) = 6.05 states/eV per cell
VASP energy = -5.89 eV per atom

```
data_TiCoCu2B
_chemical_formula_sum 'Ti1 Co1 Cu2 B1'
_cell_length_a 3.896
_cell_length_b 3.896
_cell_length_c 3.919
_cell_angle_alpha 90.00
_cell_angle_beta 90.00
_cell_angle_gamma 90.00
_symmetry_space_group_name_H-M 'P 1'
_symmetry_Int_Tables_number 1
_symmetry_space_group_name_Hall 'P 1'
loop_
_atom_site_label
_atom_site_type_symbol
_atom_site_fract_x
_atom_site_fract_y
_atom_site_fract_z
_atom_site_occupancy
Ti1 Ti 0.000 0.000 0.000 1
Co1 Co 0.500 0.500 0.000 1
Cu1 Cu 0.000 0.500 0.500 1
Cu2 Cu 0.500 0.000 0.500 1
B1 B 0.500 0.500 0.500 1
```

***

3.
Entry from Alexandria via LeMat-Bulk: CaTa2PdO8 after structural relaxation (PBE-GGA).

symmetry = P2/m
crystal system = monoclinic
D(E_F) = 2.72 states/eV per cell
VASP energy = -8.07 eV per atom
energy relative to the elements, uncorrected = -2.1904 eV per atom

```
data_CaTa2PdO8
_chemical_formula_sum 'Ca1 Ta2 Pd1 O8'
_cell_length_a 4.837
_cell_length_b 6.368
_cell_length_c 4.847
_cell_angle_alpha 90.00
_cell_angle_beta 91.64
_cell_angle_gamma 90.00
_symmetry_space_group_name_H-M 'P 1'
_symmetry_Int_Tables_number 1
_symmetry_space_group_name_Hall 'P 1'
loop_
_atom_site_label
_atom_site_type_symbol
_atom_site_fract_x
_atom_site_fract_y
_atom_site_fract_z
_atom_site_occupancy
Ca1 Ca 0.000 0.000 0.000 1
Ta1 Ta 0.500 0.250 0.500 1
Ta2 Ta 0.500 0.750 0.500 1
Pd1 Pd 0.000 0.500 0.000 1
O1 O 0.214 0.278 0.212 1
O2 O 0.214 0.722 0.212 1
O3 O 0.301 0.500 0.695 1
O4 O 0.322 0.000 0.675 1
O5 O 0.678 0.000 0.325 1
O6 O 0.699 0.500 0.305 1
O7 O 0.786 0.278 0.788 1
O8 O 0.786 0.722 0.788 1
```

***

4.
Entry from Alexandria via LeMat-Bulk: CaCoNi after structural relaxation (PBE-GGA).

energy of formation from the pure elements = 512 meV/atom
symmetry = F-43m
crystal system = cubic
D(E_F) = 4.98 states/eV per cell
VASP energy = -4.45 eV per atom

```
data_CaCoNi
_chemical_formula_sum 'Ca1 Co1 Ni1'
_cell_length_a 4.329
_cell_length_b 4.329
_cell_length_c 4.329
_cell_angle_alpha 60.00
_cell_angle_beta 60.00
_cell_angle_gamma 60.00
_symmetry_space_group_name_H-M 'P 1'
_symmetry_Int_Tables_number 1
_symmetry_space_group_name_Hall 'P 1'
loop_
_atom_site_label
_atom_site_type_symbol
_atom_site_fract_x
_atom_site_fract_y
_atom_site_fract_z
_atom_site_occupancy
Ca1 Ca 0.000 0.000 0.000 1
Co1 Co 0.500 0.500 0.500 1
Ni1 Ni 0.250 0.250 0.250 1
```

***

5.
Entry from Alexandria via LeMat-Bulk: SnPb4Se5 after structural relaxation (PBE-GGA).

symmetry = Immm
crystal system = orthorhombic
VASP energy = -4.16 eV per atom
energy relative to the elements, uncorrected = -0.5383 eV per atom

```
data_SnPb4Se5
_chemical_formula_sum 'Sn1 Pb4 Se5'
_cell_length_a 11.569
_cell_length_b 11.569
_cell_length_c 11.569
_cell_angle_alpha 158.25
_cell_angle_beta 149.04
_cell_angle_gamma 38.16
_symmetry_space_group_name_H-M 'P 1'
_symmetry_Int_Tables_number 1
_symmetry_space_group_name_Hall 'P 1'
loop_
_atom_site_label
_atom_site_type_symbol
_atom_site_fract_x
_atom_site_fract_y
_atom_site_fract_z
_atom_site_occupancy
Sn1 Sn 0.000 0.000 0.000 1
Pb1 Pb 0.199 0.199 0.000 1
Pb2 Pb 0.400 0.400 0.000 1
Pb3 Pb 0.600 0.600 0.000 1
Pb4 Pb 0.801 0.801 0.000 1
Se1 Se 0.097 0.597 0.500 1
Se2 Se 0.299 0.799 0.500 1
Se3 Se 0.500 0.000 0.500 1
Se4 Se 0.701 0.201 0.500 1
Se5 Se 0.903 0.403 0.500 1
```

***

6.
Entry from Alexandria via LeMat-Bulk: CaInAs2 after structural relaxation (PBE-GGA).

energy of formation from the pure elements = -445 meV/atom
symmetry = R-3m
crystal system = trigonal
D(E_F) = 1.87 states/eV per cell
VASP energy = -3.95 eV per atom

```
data_CaInAs2
_chemical_formula_sum 'Ca1 In1 As2'
_cell_length_a 7.575
_cell_length_b 7.575
_cell_length_c 7.575
_cell_angle_alpha 30.67
_cell_angle_beta 30.67
_cell_angle_gamma 30.67
_symmetry_space_group_name_H-M 'P 1'
_symmetry_Int_Tables_number 1
_symmetry_space_group_name_Hall 'P 1'
loop_
_atom_site_label
_atom_site_type_symbol
_atom_site_fract_x
_atom_site_fract_y
_atom_site_fract_z
_atom_site_occupancy
Ca1 Ca 0.000 0.000 0.000 1
In1 In 0.500 0.500 0.500 1
As1 As 0.241 0.241 0.241 1
As2 As 0.759 0.759 0.759 1
```